No. 1
CsNiH6Ru: relaxed, GGA-PBE.

Properties
space-group type	Amm2, No. 38
spin magnetization	0.98	μB/cell
E	-35.95	eV/f.u.

a b c (Å): 6.3745 4.3702 4.3702
angles (deg): 70.51 90.00 90.00
Element x y z (fractional)
Cs: 0.0000 0.0000 0.0000
Ni: 0.5000 0.3115 0.3115
H: 0.3290 0.0052 0.4767
H: 0.3290 0.4767 0.0052
H: 0.3509 0.5213 0.5213
H: 0.6491 0.5213 0.5213
H: 0.6710 0.0052 0.4767
H: 0.6710 0.4767 0.0052
Ru: 0.5000 0.7086 0.7086


No. 2
FeNi2PtN: relaxed, GGA-PBE.

Properties
formation energy (no corrections)	-0.09	eV per atom
space-group type	P4/mmm, No. 123
spin magnetization	3.98	μB/cell

a b c (Å): 3.8156 3.8156 3.8491
angles (deg): 90.00 90.00 90.00
Element x y z (fractional)
Fe: 0.0000 0.0000 0.0000
Ni: 0.0000 0.5000 0.5000
Ni: 0.5000 0.0000 0.5000
Pt: 0.5000 0.5000 0.0000
N: 0.0000 0.0000 0.5000


No. 3
SmCd3Ga3: relaxed, GGA-PBE.

Properties
space-group type	Pm-3n, No. 223
spin magnetization	0.00	μB/cell
E	-14.37	eV/f.u.

a b c (Å): 7.3441 7.3441 7.3441
angles (deg): 90.00 90.00 90.00
Element x y z (fractional)
Sm: 0.0000 0.0000 0.0000
Sm: 0.5000 0.5000 0.5000
Cd: 0.0000 0.2500 0.5000
Cd: 0.0000 0.7500 0.5000
Cd: 0.2500 0.5000 0.0000
Cd: 0.5000 0.0000 0.2500
Cd: 0.5000 0.0000 0.7500
Cd: 0.7500 0.5000 0.0000
Ga: 0.0000 0.5000 0.2500
Ga: 0.0000 0.5000 0.7500
Ga: 0.2500 0.0000 0.5000
Ga: 0.5000 0.2500 0.0000
Ga: 0.5000 0.7500 0.0000
Ga: 0.7500 0.0000 0.5000